This record from the Alexandria database describes a relaxed structure of Fe2HgPb. The functional is GGA-PBE.

Unit cell a=4.6377 b=4.6377 c=3.2873 alpha=90.00 beta=90.00 gamma=90.00
Closest atoms and distances in Å follow each position.
Sites, in units of the cell vectors:
Fe  0.0000  0.5000  0.0000  4 Hg 2.84, 4 Pb 2.84
Fe  0.5000  0.0000  0.0000  4 Hg 2.84, 4 Pb 2.84
Hg  0.0000  0.0000  0.5000  8 Fe 2.84
Pb  0.5000  0.5000  0.5000  8 Fe 2.84

Properties
- formation energy (eV/f.u.) = 2.52
- total magnetization (μB/f.u.) = 4.9
- energy relative to the lowest polymorph listed for this composition (eV per formula unit) = 1.08
- N(E_F) (states/eV/atom) = 1.26